1.
Computed, not measured: AcSmPd after structural relaxation at the GGA-PBE level of DFT.

Computed properties:
Total magnetization, μB per cell: 0.35
Calculated density, kg/m³: 8777
Distance to the lowest polymorph of the same formula, kJ per mole of atoms: 0.00
DOS at the Fermi energy, states/eV/cell: 7.9
Formation energy, eV per atom: -0.450

a = 3.764 Å, b = 7.446 Å, c = 7.109 Å
α = 106.86°, β = 105.61°, γ = 89.86°
Positions (direct):
Sm 0.306 0.991 0.380
Ac 0.574 0.625 0.921
Pd 0.932 0.827 0.627
Ac 0.304 0.479 0.368
Sm 0.572 0.113 0.909
Pd 0.946 0.277 0.661

2.
Computed, not measured: HfAlPd14 after structural relaxation at the GGA-PBE level of DFT.

Computed properties:
Total magnetization, μB per cell: 0.00
Calculated density, kg/m³: 11333
DOS at the Fermi energy, states/eV/cell: 22.2
Formation energy, eV per atom: -0.374

a = 5.650 Å, b = 5.650 Å, c = 7.781 Å
α = 90.00°, β = 90.00°, γ = 90.01°
Positions (direct):
Pd 0.127 0.873 0.245
Pd 0.623 0.873 0.755
Pd 0.875 0.625 0.000
Hf 0.875 0.125 0.000
Pd 0.875 0.125 0.500
Pd 0.623 0.377 0.755
Pd 0.375 0.125 0.500
Al 0.375 0.625 0.000
Pd 0.623 0.377 0.245
Pd 0.875 0.625 0.500
Pd 0.375 0.125 0.000
Pd 0.127 0.873 0.755
Pd 0.623 0.873 0.245
Pd 0.127 0.377 0.755
Pd 0.375 0.625 0.500
Pd 0.127 0.377 0.245

3.
Computed, not measured: YHo3Er3 after structural relaxation at the GGA-PBE level of DFT.

Computed properties:
Total magnetization, μB per cell: 0.00
Calculated density, kg/m³: 7897
Distance to the lowest polymorph of the same formula, kJ per mole of atoms: 13.35
DOS at the Fermi energy, states/eV/cell: 19.5
Formation energy, eV per atom: 0.143

a = 6.116 Å, b = 6.116 Å, c = 14.526 Å
α = 77.85°, β = 77.85°, γ = 60.00°
Positions (direct):
Er 0.267 0.599 0.201
Ho 0.464 0.801 0.601
Ho 0.801 0.133 0.601
Ho 0.867 0.536 0.399
Er 0.599 0.933 0.201
Ho 0.133 0.464 0.601
Y 0.667 0.667 0.000
Y 0.333 0.333 0.000
Er 0.401 0.067 0.799
Er 0.733 0.401 0.799
Ho 0.199 0.867 0.399
Ho 0.536 0.199 0.399
Er 0.933 0.267 0.201
Er 0.067 0.733 0.799

4.
Computed, not measured: YS2BrN after structural relaxation at the GGA-PBE level of DFT.

Computed properties:
Total magnetization, μB per cell: 0.66
Calculated density, kg/m³: 4302
Distance to the lowest polymorph of the same formula, kJ per mole of atoms: 0.00
DOS at the Fermi energy, states/eV/cell: 1.8
Uncorrected formation energy, eV/f.u.: 2.46

a = 4.900 Å, b = 4.900 Å, c = 3.970 Å
α = 90.00°, β = 90.00°, γ = 90.00°
Positions (direct):
S 0.000 0.500 0.000
S 0.500 0.000 0.000
Br 0.000 0.000 0.000
Y 0.500 0.500 0.500
N 0.000 0.000 0.500

5.
Computed, not measured: BaEuSnBiO6 after structural relaxation at the GGA-PBE level of DFT.

Computed properties:
Total magnetization, μB per cell: 6.78
Calculated density, kg/m³: 7503
DOS at the Fermi energy, states/eV/cell: 16.7
Uncorrected formation energy, eV/f.u.: -19.26

a = 6.065 Å, b = 6.065 Å, c = 6.065 Å
α = 60.00°, β = 60.00°, γ = 60.00°
Positions (direct):
O 0.259 0.259 0.741
O 0.741 0.259 0.741
Sn 0.500 0.500 0.500
Bi 0.000 0.000 0.000
O 0.259 0.741 0.741
O 0.741 0.741 0.259
Ba 0.750 0.750 0.750
O 0.741 0.259 0.259
Eu 0.250 0.250 0.250
O 0.259 0.741 0.259

6.
Computed, not measured: Ac2SmGe4Pt3 after structural relaxation at the GGA-PBE level of DFT.

Computed properties:
Total magnetization, μB per cell: 0.00
Calculated density, kg/m³: 10866
DOS at the Fermi energy, states/eV/cell: 4.4
Formation energy, eV per atom: -0.908

a = 4.456 Å, b = 4.456 Å, c = 11.392 Å
α = 90.00°, β = 90.00°, γ = 90.00°
Positions (direct):
Ac 0.500 0.000 0.230
Ge 0.000 0.500 0.337
Pt 0.500 0.000 0.887
Pt 0.000 0.000 0.500
Ge 0.500 0.000 0.663
Sm 0.500 0.500 0.500
Ge 0.000 0.000 0.000
Ac 0.000 0.500 0.770
Ge 0.500 0.500 0.000
Pt 0.000 0.500 0.113